No. 1
VASP calculation (PBE) on Ca2PuTc2N4 after structural relaxation.

Cell and atoms, written as CIF:
```
data_Ca2PuTc2N4
_chemical_formula_sum 'Ca4 Pu2 Tc4 N8'
_cell_length_a 15.285
_cell_length_b 3.192
_cell_length_c 5.819
_cell_angle_alpha 90.00
_cell_angle_beta 94.04
_cell_angle_gamma 90.00
_space_group_name_H-M_alt 'C 1 2/m 1'
_space_group_IT_number 12
_space_group_name_Hall '-C 2y'
loop_
_atom_site_label
_atom_site_type_symbol
_atom_site_fract_x
_atom_site_fract_y
_atom_site_fract_z
Ca1 Ca 0.151 0.000 0.075
Pu1 Pu 0.000 0.000 0.500
Tc1 Tc 0.188 0.500 0.548
N1 N 0.076 0.500 0.331
N2 N 0.239 0.000 0.746
```

Summary:
M_tot (μB/f.u.): 4.12
Raw formation energy (meV per atom): -574

---

No. 2
VASP calculation (PBE) on Ca3PuTh3N8 after structural relaxation.

Cell and atoms, written as CIF:
```
data_Ca3PuTh3N8
_chemical_formula_sum 'Ca9 Pu3 Th9 N24'
_cell_length_a 7.2522
_cell_length_b 7.2522
_cell_length_c 17.1574
_cell_angle_alpha 90.00
_cell_angle_beta 90.00
_cell_angle_gamma 120.00
_space_group_name_H-M_alt 'R -3 m'
_space_group_IT_number 166
_space_group_name_Hall '-R 3 2"'
loop_
_atom_site_label
_atom_site_type_symbol
_atom_site_fract_x
_atom_site_fract_y
_atom_site_fract_z
Ca1 Ca 0.0000 0.5000 0.0000
Pu1 Pu 0.0000 0.0000 0.5000
Th1 Th 0.0000 0.5000 0.5000
N1 N 0.0000 0.0000 0.2422
N2 N 0.0351 0.5175 0.2324
```

Summary:
M_tot (μB/f.u.): 2.00
Raw formation energy (meV per atom): -1267

---

No. 3
VASP calculation (PBE) on CaPuTh2N5 after structural relaxation.

Cell and atoms, written as CIF:
```
data_CaPuTh2N5
_chemical_formula_sum 'Ca4 Pu4 Th8 N20'
_cell_length_a 6.930
_cell_length_b 6.930
_cell_length_c 12.462
_cell_angle_alpha 90.00
_cell_angle_beta 90.00
_cell_angle_gamma 90.00
_space_group_name_H-M_alt 'I 4/m c m'
_space_group_IT_number 140
_space_group_name_Hall '-I 4 2c'
loop_
_atom_site_label
_atom_site_type_symbol
_atom_site_fract_x
_atom_site_fract_y
_atom_site_fract_z
Ca1 Ca 0.000 0.000 0.250
Pu1 Pu 0.000 0.500 0.250
Th1 Th 0.176 0.324 0.000
N1 N 0.000 0.000 0.000
N2 N 0.147 0.353 0.372
```

Summary:
M_tot (μB/f.u.): 2.97
Raw formation energy (meV per atom): -1017

---

No. 4
VASP calculation (PBE) on CaPuThN3 after structural relaxation.

Cell and atoms, written as CIF:
```
data_CaPuThN3
_chemical_formula_sum 'Ca2 Pu2 Th2 N6'
_cell_length_a 7.434
_cell_length_b 3.714
_cell_length_c 8.261
_cell_angle_alpha 90.00
_cell_angle_beta 97.93
_cell_angle_gamma 90.00
_space_group_name_H-M_alt 'P 1 21/m 1'
_space_group_IT_number 11
_space_group_name_Hall '-P 2yb'
loop_
_atom_site_label
_atom_site_type_symbol
_atom_site_fract_x
_atom_site_fract_y
_atom_site_fract_z
Ca1 Ca 0.127 0.250 0.160
Pu1 Pu 0.444 0.750 0.423
Th1 Th 0.327 0.750 0.856
N1 N 0.136 0.250 0.873
N2 N 0.285 0.250 0.429
N3 N 0.426 0.750 0.147
```

Summary:
M_tot (μB/f.u.): 0.00
Raw formation energy (meV per atom): -910

---

No. 5
VASP calculation (PBE) on CaPuTh2N4 after structural relaxation.

Cell and atoms, written as CIF:
```
data_CaPuTh2N4
_chemical_formula_sum 'Ca1 Pu1 Th2 N4'
_cell_length_a 6.180
_cell_length_b 3.640
_cell_length_c 6.280
_cell_angle_alpha 90.00
_cell_angle_beta 109.83
_cell_angle_gamma 90.00
_space_group_name_H-M_alt 'P 1 2/m 1'
_space_group_IT_number 10
_space_group_name_Hall '-P 2y'
loop_
_atom_site_label
_atom_site_type_symbol
_atom_site_fract_x
_atom_site_fract_y
_atom_site_fract_z
Ca1 Ca 0.000 0.000 0.000
Pu1 Pu 0.000 0.500 0.500
Th1 Th 0.500 0.000 0.500
Th2 Th 0.500 0.500 0.000
N1 N 0.251 0.000 0.744
N2 N 0.266 0.500 0.260
```

Summary:
M_tot (μB/f.u.): 5.36
Raw formation energy (meV per atom): -1364

---

No. 6
VASP calculation (PBE) on Ca3PuTh2N6 after structural relaxation.

Cell and atoms, written as CIF:
```
data_Ca3PuTh2N6
_chemical_formula_sum 'Ca6 Pu2 Th4 N12'
_cell_length_a 6.261
_cell_length_b 10.851
_cell_length_c 6.144
_cell_angle_alpha 90.00
_cell_angle_beta 109.80
_cell_angle_gamma 90.00
_space_group_name_H-M_alt 'C 1 2/m 1'
_space_group_IT_number 12
_space_group_name_Hall '-C 2y'
loop_
_atom_site_label
_atom_site_type_symbol
_atom_site_fract_x
_atom_site_fract_y
_atom_site_fract_z
Ca1 Ca 0.000 0.000 0.000
Ca2 Ca 0.000 0.338 0.000
Pu1 Pu 0.000 0.500 0.500
Th1 Th 0.000 0.167 0.500
N1 N 0.234 0.339 0.722
N2 N 0.248 0.500 0.280
```

Summary:
M_tot (μB/f.u.): 4.00
Raw formation energy (meV per atom): -1308

---

No. 7
VASP calculation (PBE) on Ca3Pu2TiN6 after structural relaxation.

Cell and atoms, written as CIF:
```
data_Ca3Pu2TiN6
_chemical_formula_sum 'Ca6 Pu4 Ti2 N12'
_cell_length_a 5.849
_cell_length_b 10.135
_cell_length_c 5.925
_cell_angle_alpha 90.00
_cell_angle_beta 109.14
_cell_angle_gamma 90.00
_space_group_name_H-M_alt 'C 1 2/m 1'
_space_group_IT_number 12
_space_group_name_Hall '-C 2y'
loop_
_atom_site_label
_atom_site_type_symbol
_atom_site_fract_x
_atom_site_fract_y
_atom_site_fract_z
Ca1 Ca 0.000 0.000 0.000
Ca2 Ca 0.000 0.338 0.000
Pu1 Pu 0.000 0.167 0.500
Ti1 Ti 0.000 0.500 0.500
N1 N 0.230 0.340 0.711
N2 N 0.250 0.000 0.711
```

Summary:
M_tot (μB/f.u.): 8.01
Raw formation energy (meV per atom): -1230

---

No. 8
VASP calculation (PBE) on Ca3Tm2PuN6 after structural relaxation.

Cell and atoms, written as CIF:
```
data_Ca3Tm2PuN6
_chemical_formula_sum 'Ca6 Tm4 Pu2 N12'
_cell_length_a 5.934
_cell_length_b 10.297
_cell_length_c 6.012
_cell_angle_alpha 90.00
_cell_angle_beta 109.23
_cell_angle_gamma 90.00
_space_group_name_H-M_alt 'C 1 2/m 1'
_space_group_IT_number 12
_space_group_name_Hall '-C 2y'
loop_
_atom_site_label
_atom_site_type_symbol
_atom_site_fract_x
_atom_site_fract_y
_atom_site_fract_z
Ca1 Ca 0.000 0.000 0.000
Ca2 Ca 0.000 0.333 0.000
Tm1 Tm 0.000 0.167 0.500
Pu1 Pu 0.000 0.500 0.500
N1 N 0.230 0.343 0.719
N2 N 0.237 0.500 0.288
```

Summary:
M_tot (μB/f.u.): 2.00
Raw formation energy (meV per atom): -1336

---

No. 9
VASP calculation (PBE) on CaPu4UN8 after structural relaxation.

Cell and atoms, written as CIF:
```
data_CaPu4UN8
_chemical_formula_sum 'Ca3 Pu12 U3 N24'
_cell_length_a 6.8546
_cell_length_b 6.8546
_cell_length_c 16.3107
_cell_angle_alpha 90.00
_cell_angle_beta 90.00
_cell_angle_gamma 120.00
_space_group_name_H-M_alt 'R 3 m'
_space_group_IT_number 160
_space_group_name_Hall 'R 3 -2"'
loop_
_atom_site_label
_atom_site_type_symbol
_atom_site_fract_x
_atom_site_fract_y
_atom_site_fract_z
Ca1 Ca 0.0000 0.0000 0.0000
Pu1 Pu 0.0000 0.0000 0.3776
Pu2 Pu 0.0005 0.5002 0.4979
U1 U 0.0000 0.0000 0.6130
N1 N 0.0000 0.0000 0.2325
N2 N 0.0000 0.0000 0.7503
N3 N 0.0217 0.5109 0.7647
N4 N 0.1725 0.3451 0.5755
```

Summary:
M_tot (μB/f.u.): 6.29
Raw formation energy (meV per atom): -1019

---

No. 10
VASP calculation (PBE) on Ca2PuUN4 after structural relaxation.

Cell and atoms, written as CIF:
```
data_Ca2PuUN4
_chemical_formula_sum 'Ca2 Pu1 U1 N4'
_cell_length_a 6.032
_cell_length_b 3.515
_cell_length_c 6.064
_cell_angle_alpha 90.00
_cell_angle_beta 109.62
_cell_angle_gamma 90.00
_space_group_name_H-M_alt 'P 1 2/m 1'
_space_group_IT_number 10
_space_group_name_Hall '-P 2y'
loop_
_atom_site_label
_atom_site_type_symbol
_atom_site_fract_x
_atom_site_fract_y
_atom_site_fract_z
Ca1 Ca 0.000 0.000 0.000
Ca2 Ca 0.000 0.500 0.500
Pu1 Pu 0.500 0.000 0.500
U1 U 0.500 0.500 0.000
N1 N 0.285 0.000 0.775
N2 N 0.289 0.500 0.247
```

Summary:
M_tot (μB/f.u.): 6.01
Raw formation energy (meV per atom): -1276

---

No. 11
VASP calculation (PBE) on Ca2Pu3UN6 after structural relaxation.

Cell and atoms, written as CIF:
```
data_Ca2Pu3UN6
_chemical_formula_sum 'Ca4 Pu6 U2 N12'
_cell_length_a 6.043
_cell_length_b 10.451
_cell_length_c 6.049
_cell_angle_alpha 90.00
_cell_angle_beta 109.29
_cell_angle_gamma 90.00
_space_group_name_H-M_alt 'C 1 2/m 1'
_space_group_IT_number 12
_space_group_name_Hall '-C 2y'
loop_
_atom_site_label
_atom_site_type_symbol
_atom_site_fract_x
_atom_site_fract_y
_atom_site_fract_z
Ca1 Ca 0.000 0.166 0.000
Pu1 Pu 0.000 0.000 0.500
Pu2 Pu 0.000 0.330 0.500
U1 U 0.000 0.500 0.000
N1 N 0.216 0.500 0.744
N2 N 0.235 0.349 0.253
```

Summary:
M_tot (μB/f.u.): 16.01
Raw formation energy (meV per atom): -1256

---

No. 12
VASP calculation (PBE) on Ca3Pu2UN6 after structural relaxation.

Cell and atoms, written as CIF:
```
data_Ca3Pu2UN6
_chemical_formula_sum 'Ca6 Pu4 U2 N12'
_cell_length_a 6.079
_cell_length_b 10.529
_cell_length_c 6.025
_cell_angle_alpha 90.00
_cell_angle_beta 109.67
_cell_angle_gamma 90.00
_space_group_name_H-M_alt 'C 1 2/m 1'
_space_group_IT_number 12
_space_group_name_Hall '-C 2y'
loop_
_atom_site_label
_atom_site_type_symbol
_atom_site_fract_x
_atom_site_fract_y
_atom_site_fract_z
Ca1 Ca 0.000 0.000 0.000
Ca2 Ca 0.000 0.333 0.000
Pu1 Pu 0.000 0.167 0.500
U1 U 0.000 0.500 0.500
N1 N 0.231 0.341 0.714
N2 N 0.247 0.500 0.288
```

Summary:
M_tot (μB/f.u.): 10.01
Raw formation energy (meV per atom): -1264

---

No. 13
VASP calculation (PBE) on Ca2PuVN5 after structural relaxation.

Cell and atoms, written as CIF:
```
data_Ca2PuVN5
_chemical_formula_sum 'Ca8 Pu4 V4 N20'
_cell_length_a 3.370
_cell_length_b 13.782
_cell_length_c 10.499
_cell_angle_alpha 90.00
_cell_angle_beta 90.00
_cell_angle_gamma 90.00
_space_group_name_H-M_alt 'C m c 21'
_space_group_IT_number 36
_space_group_name_Hall 'C 2c -2'
loop_
_atom_site_label
_atom_site_type_symbol
_atom_site_fract_x
_atom_site_fract_y
_atom_site_fract_z
Ca1 Ca 0.000 0.102 0.000
Ca2 Ca 0.000 0.133 0.602
Pu1 Pu 0.000 0.215 0.320
V1 V 0.000 0.494 0.768
N1 N 0.000 0.050 0.331
N2 N 0.000 0.282 0.947
N3 N 0.000 0.296 0.701
N4 N 0.000 0.377 0.312
N5 N 0.000 0.499 0.104
```

Summary:
M_tot (μB/f.u.): 2.00
Raw formation energy (meV per atom): -989

---

No. 14
VASP calculation (PBE) on CaPuVN3 after structural relaxation.

Cell and atoms, written as CIF:
```
data_CaPuVN3
_chemical_formula_sum 'Ca2 Pu2 V2 N6'
_cell_length_a 7.117
_cell_length_b 3.482
_cell_length_c 7.629
_cell_angle_alpha 90.00
_cell_angle_beta 96.11
_cell_angle_gamma 90.00
_space_group_name_H-M_alt 'P 1 21/m 1'
_space_group_IT_number 11
_space_group_name_Hall '-P 2yb'
loop_
_atom_site_label
_atom_site_type_symbol
_atom_site_fract_x
_atom_site_fract_y
_atom_site_fract_z
Ca1 Ca 0.156 0.250 0.161
Pu1 Pu 0.374 0.750 0.829
V1 V 0.097 0.250 0.595
N1 N 0.112 0.250 0.834
N2 N 0.165 0.750 0.516
N3 N 0.413 0.750 0.122
```

Summary:
M_tot (μB/f.u.): 4.95
Raw formation energy (meV per atom): -1037

---

No. 15
VASP calculation (PBE) on Ca4Pu3VN8 after structural relaxation.

Cell and atoms, written as CIF:
```
data_Ca4Pu3VN8
_chemical_formula_sum 'Ca12 Pu9 V3 N24'
_cell_length_a 6.7861
_cell_length_b 6.7861
_cell_length_c 16.8523
_cell_angle_alpha 90.00
_cell_angle_beta 90.00
_cell_angle_gamma 120.00
_space_group_name_H-M_alt 'R -3 m'
_space_group_IT_number 166
_space_group_name_Hall '-R 3 2"'
loop_
_atom_site_label
_atom_site_type_symbol
_atom_site_fract_x
_atom_site_fract_y
_atom_site_fract_z
Ca1 Ca 0.0000 0.0000 0.0000
Ca2 Ca 0.0000 0.5000 0.0000
Pu1 Pu 0.0000 0.5000 0.5000
V1 V 0.0000 0.0000 0.5000
N1 N 0.0000 0.0000 0.2394
N2 N 0.0093 0.5047 0.2370
```

Summary:
M_tot (μB/f.u.): 13.00
Raw formation energy (meV per atom): -1113

---

No. 16
VASP calculation (PBE) on Ca3Pu3WN8 after structural relaxation.

Cell and atoms, written as CIF:
```
data_Ca3Pu3WN8
_chemical_formula_sum 'Ca9 Pu9 W3 N24'
_cell_length_a 6.7630
_cell_length_b 6.7630
_cell_length_c 16.9501
_cell_angle_alpha 90.00
_cell_angle_beta 90.00
_cell_angle_gamma 120.00
_space_group_name_H-M_alt 'R -3 m'
_space_group_IT_number 166
_space_group_name_Hall '-R 3 2"'
loop_
_atom_site_label
_atom_site_type_symbol
_atom_site_fract_x
_atom_site_fract_y
_atom_site_fract_z
Ca1 Ca 0.0000 0.5000 0.0000
Pu1 Pu 0.0000 0.5000 0.5000
W1 W 0.0000 0.0000 0.5000
N1 N 0.0000 0.0000 0.2405
N2 N 0.0310 0.5155 0.2324
```

Summary:
M_tot (μB/f.u.): 12.00
Raw formation energy (meV per atom): -1043

---

No. 17
VASP calculation (PBE) on CaY2PuN4 after structural relaxation.

Cell and atoms, written as CIF:
```
data_CaY2PuN4
_chemical_formula_sum 'Ca1 Y2 Pu1 N4'
_cell_length_a 5.972
_cell_length_b 3.501
_cell_length_c 5.977
_cell_angle_alpha 90.00
_cell_angle_beta 108.39
_cell_angle_gamma 90.00
_space_group_name_H-M_alt 'P 1 2/m 1'
_space_group_IT_number 10
_space_group_name_Hall '-P 2y'
loop_
_atom_site_label
_atom_site_type_symbol
_atom_site_fract_x
_atom_site_fract_y
_atom_site_fract_z
Ca1 Ca 0.000 0.000 0.000
Y1 Y 0.500 0.000 0.500
Y2 Y 0.500 0.500 0.000
Pu1 Pu 0.000 0.500 0.500
N1 N 0.243 0.500 0.276
N2 N 0.252 0.000 0.743
```

Summary:
M_tot (μB/f.u.): 3.98
Raw formation energy (meV per atom): -1396

---

No. 18
VASP calculation (PBE) on Ca3YPu2N6 after structural relaxation.

Cell and atoms, written as CIF:
```
data_Ca3YPu2N6
_chemical_formula_sum 'Ca6 Y2 Pu4 N12'
_cell_length_a 15.077
_cell_length_b 3.502
_cell_length_c 6.986
_cell_angle_alpha 90.00
_cell_angle_beta 103.54
_cell_angle_gamma 90.00
_space_group_name_H-M_alt 'C 1 2/m 1'
_space_group_IT_number 12
_space_group_name_Hall '-C 2y'
loop_
_atom_site_label
_atom_site_type_symbol
_atom_site_fract_x
_atom_site_fract_y
_atom_site_fract_z
Ca1 Ca 0.000 0.000 0.000
Ca2 Ca 0.166 0.500 0.333
Y1 Y 0.000 0.000 0.500
Pu1 Pu 0.166 0.500 0.830
N1 N 0.013 0.500 0.748
N2 N 0.164 0.000 0.608
N3 N 0.177 0.000 0.065
```

Summary:
M_tot (μB/f.u.): 7.00
Raw formation energy (meV per atom): -1248

---

No. 19
VASP calculation (PBE) on Ca3Pu3ZnN8 after structural relaxation.

Cell and atoms, written as CIF:
```
data_Ca3Pu3ZnN8
_chemical_formula_sum 'Ca9 Pu9 Zn3 N24'
_cell_length_a 6.7509
_cell_length_b 6.7509
_cell_length_c 16.8117
_cell_angle_alpha 90.00
_cell_angle_beta 90.00
_cell_angle_gamma 120.00
_space_group_name_H-M_alt 'R -3 m'
_space_group_IT_number 166
_space_group_name_Hall '-R 3 2"'
loop_
_atom_site_label
_atom_site_type_symbol
_atom_site_fract_x
_atom_site_fract_y
_atom_site_fract_z
Ca1 Ca 0.0000 0.5000 0.0000
Pu1 Pu 0.0000 0.5000 0.5000
Zn1 Zn 0.0000 0.0000 0.5000
N1 N 0.0000 0.0000 0.2419
N2 N 0.0124 0.5062 0.7672
```

Summary:
M_tot (μB/f.u.): 8.00
Raw formation energy (meV per atom): -771

---

No. 20
VASP calculation (PBE) on Ca3Pu2ZnN6 after structural relaxation.

Cell and atoms, written as CIF:
```
data_Ca3Pu2ZnN6
_chemical_formula_sum 'Ca6 Pu4 Zn2 N12'
_cell_length_a 5.651
_cell_length_b 10.870
_cell_length_c 5.775
_cell_angle_alpha 90.00
_cell_angle_beta 102.45
_cell_angle_gamma 90.00
_space_group_name_H-M_alt 'C 1 2/m 1'
_space_group_IT_number 12
_space_group_name_Hall '-C 2y'
loop_
_atom_site_label
_atom_site_type_symbol
_atom_site_fract_x
_atom_site_fract_y
_atom_site_fract_z
Ca1 Ca 0.000 0.000 0.000
Ca2 Ca 0.000 0.344 0.000
Pu1 Pu 0.000 0.164 0.500
Zn1 Zn 0.000 0.500 0.500
N1 N 0.210 0.178 0.265
N2 N 0.244 0.500 0.285
```

Summary:
M_tot (μB/f.u.): 6.00
Raw formation energy (meV per atom): -922